# GGA-PBE LaPOsF, relaxed
# DOS at the Fermi energy (states/eV/cell): 5.96
# Total moment (Bohr magnetons per cell): 0.0
# Calculated total energy (eV per atom): -7.8280
# Uncorrected formation energy (eV per atom): -1.97
data_LaPOsF
_chemical_formula_sum 'La2 P2 Os2 F2'
_space_group_name_H-M_alt 'P 4/n m m'
_space_group_IT_number 129
_cell_length_a 4.063
_cell_length_b 4.063
_cell_length_c 8.455
_cell_angle_alpha 90.00
_cell_angle_beta 90.00
_cell_angle_gamma 90.00
loop_
_space_group_symop_operation_xyz
'x,y,z'
'-x,-y,-z'
'-y+1/2,x,z'
'y+1/2,-x,-z'
'-x+1/2,-y+1/2,z'
'x+1/2,y+1/2,-z'
'y,-x+1/2,z'
'-y,x+1/2,-z'
'x+1/2,-y,-z'
'-x+1/2,y,z'
'-y,-x,-z'
'y,x,z'
'-x,y+1/2,-z'
'x,-y+1/2,z'
'y+1/2,x+1/2,-z'
'-y+1/2,-x+1/2,z'
loop_
_atom_site_label
_atom_site_fract_x
_atom_site_fract_y
_atom_site_fract_z
La1 0.250 0.250 0.191
P1 0.250 0.250 0.644
Os1 0.250 0.750 0.500
F1 0.250 0.750 0.000

---

# GGA-PBE TcSb2As, relaxed
# DOS at the Fermi energy (states/eV/cell): 5.29
# Total moment (Bohr magnetons per cell): 0.0
# Distance to the lowest polymorph of the same formula (eV/atom): 0.191
# Calculated total energy (eV per atom): -5.5712
# Uncorrected formation energy (eV per atom): 0.24
data_TcSb2As
_chemical_formula_sum 'Tc3 Sb6 As3'
_space_group_name_H-M_alt 'R -3 m'
_space_group_IT_number 166
_space_group_name_Hall '-R 3 2"'
_cell_length_a 3.3938
_cell_length_b 3.3938
_cell_length_c 25.4623
_cell_angle_alpha 90.00
_cell_angle_beta 90.00
_cell_angle_gamma 120.00
loop_
_atom_site_label
_atom_site_fract_x
_atom_site_fract_y
_atom_site_fract_z
Tc1 0.0000 0.0000 0.0000
Sb1 0.0000 0.0000 0.2589
As1 0.0000 0.0000 0.5000